[1]
The following is a DFT calculation (PBE-GGA) of La2TcSnW after structural relaxation.

Computed properties:
For the total energy, the calculation gives -34.44 eV/cell. As for the total magnetization: 0.0 μB per formula unit.

Cell: 5.6154 4.6951 5.6154 Å, 90.00 90.00 90.00°
With the nearest neighbours (Å) after each atom.
Positions (direct):
Tc  0.0000  0.5000  0.0000  2 W 2.35
Sn  0.5000  0.5000  0.5000  8 La 3.66, 4 Tc 3.97
W  0.0000  0.0000  0.0000  2 Tc 2.35
La  0.0000  0.0000  0.5000  2 W 2.81
La  0.5000  0.0000  0.0000  2 W 2.81


[2]
The following is a DFT calculation (PBE-GGA) of Pr2Cd5Ga after structural relaxation.

Computed properties:
For the total energy, the calculation gives -39.28 eV/cell. As for the total magnetization: 0.0 μB per formula unit.

Cell: 4.7568 9.0706 9.7378 Å, 90.00 90.00 105.20°
With the nearest neighbours (Å) after each atom.
Positions (direct):
Pr  0.8035  0.6071  0.7500  11 Cd 3.32-3.59, 2 Ga 3.49
Pr  0.1965  0.3929  0.2500  11 Cd 3.32-3.59, 2 Ga 3.49
Pr  0.0000  0.0000  0.0000  10 Cd 3.46-3.82, 4 Ga 3.52
Pr  0.0000  0.0000  0.5000  10 Cd 3.46-3.82, 4 Ga 3.52
Cd  0.1906  0.3812  0.8966  4 Cd 2.85-3.00
Cd  0.8094  0.6188  0.1034  4 Cd 2.85-3.00
Cd  0.1906  0.3812  0.6034  4 Cd 2.85-3.00
Cd  0.8094  0.6188  0.3966  4 Cd 2.85-3.00
Cd  0.3574  0.7148  0.9669  1 Ga 2.65, 3 Cd 2.85-2.86
Cd  0.6426  0.2852  0.0331  1 Ga 2.65, 3 Cd 2.85-2.86
Cd  0.3574  0.7148  0.5331  1 Ga 2.65, 3 Cd 2.85-2.86
Cd  0.6426  0.2852  0.4669  1 Ga 2.65, 3 Cd 2.85-2.86
Cd  0.5987  0.1974  0.7500  1 Ga 2.62, 2 Cd 2.86
Cd  0.4013  0.8026  0.2500  1 Ga 2.62, 2 Cd 2.86
Ga  0.4492  0.8985  0.7500  3 Cd 2.62-2.65
Ga  0.5508  0.1015  0.2500  3 Cd 2.62-2.65


[3]
The following is a DFT calculation (PBE-GGA) of BaNbO2F after structural relaxation.

Computed properties:
For the total energy, the calculation gives -25.62 eV/cell. As for the total magnetization: 2.0 μB per formula unit.

Cell: 4.8504 4.8504 4.7584 Å, 90.00 90.00 90.00°
With the nearest neighbours (Å) after each atom.
Positions (direct):
Nb  0.5000  0.5000  0.5000  8 O 3.40, 4 F 3.43
Ba  0.0000  0.0000  0.0000  2 F 2.38, 4 O 2.43
O  0.0000  0.5000  0.0000  2 Ba 2.43
O  0.5000  0.0000  0.0000  2 Ba 2.43
F  0.0000  0.0000  0.5000  2 Ba 2.38